1.
A plane-wave DFT calculation with PBE-GGA was carried out for an optimized crystal structure of RbNaZn.

raw total energy = -1.12 eV per atom
DFT formation energy = 0.0642 eV per atom

Geometry as extended XYZ:
```
12
Lattice="4.749 0.000 0.000 0.000 7.834 0.000 0.000 0.000 13.487" Properties=species:S:1:pos:R:3 pbc="T T T"
Rb 1.187 5.154 10.475
Rb 3.562 1.236 9.756
Rb 3.562 2.681 3.012
Rb 1.187 6.598 3.731
Na 3.562 5.273 7.026
Na 3.562 6.479 0.283
Na 1.187 1.356 13.205
Na 1.187 2.562 6.461
Zn 1.187 4.284 0.402
Zn 1.187 7.468 7.146
Zn 3.562 3.550 13.085
Zn 3.562 0.367 6.341
```


2.
A plane-wave DFT calculation with PBE-GGA was carried out for an optimized crystal structure of AlCd2Co.

raw total energy = -2.92 eV per atom
DFT formation energy = 0.2538 eV per atom

Geometry as extended XYZ:
```
4
Lattice="3.441 0.000 0.000 0.000 3.576 0.000 0.000 0.000 5.628" Properties=species:S:1:pos:R:3 pbc="T T T"
Co 1.720 1.788 1.407
Cd 0.000 0.000 2.758
Cd 0.000 0.000 0.056
Al 1.720 1.788 4.221
```


Copy entry 1 word for word.
A plane-wave DFT calculation with PBE-GGA was carried out for an optimized crystal structure of RbNaZn.

raw total energy = -1.12 eV per atom
DFT formation energy = 0.0642 eV per atom

Geometry as extended XYZ:
```
12
Lattice="4.749 0.000 0.000 0.000 7.834 0.000 0.000 0.000 13.487" Properties=species:S:1:pos:R:3 pbc="T T T"
Rb 1.187 5.154 10.475
Rb 3.562 1.236 9.756
Rb 3.562 2.681 3.012
Rb 1.187 6.598 3.731
Na 3.562 5.273 7.026
Na 3.562 6.479 0.283
Na 1.187 1.356 13.205
Na 1.187 2.562 6.461
Zn 1.187 4.284 0.402
Zn 1.187 7.468 7.146
Zn 3.562 3.550 13.085
Zn 3.562 0.367 6.341
```